Li3Sm2US6, relaxed, DFT GGA-PBE; ΔE_f (raw) = -1.635 eV/atom
1.0
6.877 0.000 0.000
-3.436 5.956 0.000
-1.148 -1.987 6.202
Li Sm S U
3 2 6 1
Direct
0.164 0.836 0.500
0.500 0.500 0.500
0.836 0.164 0.500
0.667 0.333 0.000
0.333 0.667 0.000
0.412 0.086 0.257
0.086 0.412 0.257
0.588 0.914 0.743
0.758 0.758 0.254
0.914 0.588 0.743
0.242 0.242 0.746
0.000 0.000 0.000